Entry 1:
A plane-wave DFT calculation with PBE was carried out for a geometry-optimized CaSc2Mo structure.

Unit cell a=5.0286 b=5.0286 c=5.0286 alpha=60.00 beta=60.00 gamma=60.00
Sites, in units of the cell vectors:
Sc (0.0000, 0.0000, 0.0000)
Sc (0.7500, 0.7500, 0.7500)
Mo (0.2500, 0.2500, 0.2500)
Ca (0.5000, 0.5000, 0.5000)

Values from the calculation:
excess energy over the best structure of this formula in the dataset	361.8	meV/atom
DOS(E_F)	1.61	states/eV per atom
E_form	0.528	eV/atom
magnetization	0.0	μB/f.u.

=====

Entry 2:
A plane-wave DFT calculation with PBE was carried out for a geometry-optimized CaSc4Mo structure.

Unit cell a=5.9046 b=5.9046 c=5.9046 alpha=60.00 beta=60.00 gamma=60.00
Sites, in units of the cell vectors:
Ca (0.7500, 0.7500, 0.7500)
Sc (0.8864, 0.3712, 0.3712)
Sc (0.3712, 0.3712, 0.8864)
Sc (0.3712, 0.8864, 0.3712)
Sc (0.3712, 0.3712, 0.3712)
Mo (0.0000, 0.0000, 0.0000)

Values from the calculation:
DOS(E_F)	1.65	states/eV per atom
E_form	0.622	eV/atom
magnetization	0.2	μB/f.u.

=====

Entry 3:
A plane-wave DFT calculation with PBE was carried out for a geometry-optimized CaSc2Mo structure.

Unit cell a=5.4631 b=5.4631 c=3.1530 alpha=90.00 beta=90.00 gamma=107.06
Sites, in units of the cell vectors:
Sc (0.0000, 0.0000, 0.0000)
Sc (0.5000, 0.5000, 0.0000)
Mo (0.0000, 0.5000, 0.5000)
Ca (0.5000, 0.0000, 0.5000)

Values from the calculation:
excess energy over the best structure of this formula in the dataset	332.1	meV/atom
DOS(E_F)	1.44	states/eV per atom
E_form	0.498	eV/atom
magnetization	0.0	μB/f.u.

=====

Entry 4:
A plane-wave DFT calculation with PBE was carried out for a geometry-optimized CaSc2Mo structure.

Unit cell a=4.6167 b=4.6123 c=4.2243 alpha=90.00 beta=90.00 gamma=90.00
Sites, in units of the cell vectors:
Sc (0.0000, 0.0000, 0.0000)
Sc (0.5000, 0.5000, 0.0000)
Mo (0.0000, 0.5000, 0.5000)
Ca (0.5000, 0.0000, 0.5000)

Values from the calculation:
excess energy over the best structure of this formula in the dataset	290.2	meV/atom
DOS(E_F)	1.07	states/eV per atom
E_form	0.456	eV/atom
magnetization	0.0	μB/f.u.

=====

Entry 5:
A plane-wave DFT calculation with PBE was carried out for a geometry-optimized CaSc2Mo structure.

Unit cell a=5.7259 b=5.7259 c=5.7259 alpha=138.41 beta=131.27 gamma=65.94
Sites, in units of the cell vectors:
Sc (0.0281, 0.0281, 0.0000)
Sc (0.7572, 0.2572, 0.5000)
Mo (0.2272, 0.7272, 0.5000)
Ca (0.4874, 0.4874, 0.0000)

Values from the calculation:
excess energy over the best structure of this formula in the dataset	268.1	meV/atom
DOS(E_F)	0.78	states/eV per atom
E_form	0.434	eV/atom
magnetization	0.0	μB/f.u.

=====

Entry 6:
A plane-wave DFT calculation with PBE was carried out for a geometry-optimized CaScMo3 structure.

Unit cell a=4.7881 b=4.7881 c=4.7881 alpha=90.00 beta=90.00 gamma=90.00
Sites, in units of the cell vectors:
Sc (0.0000, 0.0000, 0.0000)
Mo (0.0000, 0.5000, 0.0000)
Mo (0.0000, 0.0000, 0.5000)
Mo (0.5000, 0.0000, 0.0000)
Ca (0.5000, 0.5000, 0.5000)

Values from the calculation:
excess energy over the best structure of this formula in the dataset	0.0	meV/atom
DOS(E_F)	1.44	states/eV per atom
E_form	1.653	eV/atom
magnetization	0.0	μB/f.u.

=====

Entry 7:
A plane-wave DFT calculation with PBE was carried out for a geometry-optimized CaScMo structure.

Unit cell a=7.9368 b=7.9368 c=7.9368 alpha=158.15 beta=158.15 gamma=31.09
Sites, in units of the cell vectors:
Sc (0.6910, 0.6910, 0.0000)
Mo (0.3241, 0.3241, 0.0000)
Ca (0.9848, 0.9848, 0.0000)

Values from the calculation:
excess energy over the best structure of this formula in the dataset	18.8	meV/atom
DOS(E_F)	1.07	states/eV per atom
E_form	0.491	eV/atom
magnetization	0.0	μB/f.u.

=====

Entry 8:
A plane-wave DFT calculation with PBE was carried out for a geometry-optimized CaScMo structure.

Unit cell a=5.0407 b=5.0407 c=2.9583 alpha=90.00 beta=90.00 gamma=120.00
Sites, in units of the cell vectors:
Sc (0.3333, 0.6667, 0.6665)
Mo (0.6667, 0.3333, 0.1666)
Ca (0.0000, 0.0000, 0.1668)

Values from the calculation:
excess energy over the best structure of this formula in the dataset	90.3	meV/atom
DOS(E_F)	0.93	states/eV per atom
E_form	0.562	eV/atom
magnetization	0.0	μB/f.u.